# CeLu2In

A relaxed CeLu2In crystal (PBE, Alexandria).

Structure (POSCAR):
```
CeLu2In
1.0
-0.0503 0.1211 5.3185
-2.2340 -3.9822 2.7304
3.0505 -3.3683 2.7664
Lu In Ce
2 1 1
Direct
0.2500 0.2500 0.2500
0.7500 0.7500 0.7500
0.5000 0.5000 0.5000
0.0000 0.0000 0.0000
```

Calculated values
space-group type	Fm-3m
total DFT energy (no corrections)	-17.9	eV for the cell shown
energy of formation from the pure elements	-0.0398	eV per atom
distance to the lowest polymorph of the same formula	159	meV/atom
calculated volume	26.62	Å³/atom

***

# Tb2PuThS4

A relaxed Tb2PuThS4 crystal (PBE, Alexandria).

Structure (POSCAR):
```
Tb2PuThS4
1.0
3.9363 0.0000 0.0000
0.0000 6.8462 0.1243
0.0000 -2.3875 6.4949
Th S Tb Pu
1 4 2 1
Direct
0.5000 0.5000 0.0000
0.5000 0.7520 0.7446
0.5000 0.2480 0.2554
0.0000 0.7567 0.2595
0.0000 0.2433 0.7405
0.0000 0.5000 0.5000
0.5000 0.0000 0.5000
0.0000 0.0000 0.0000
```

Calculated values
space-group type	P2/m
total DFT energy (no corrections)	-62.8	eV for the cell shown
ΔE_f (raw)	-1.912	eV per atom
calculated volume	22.02	Å³/atom

***

# LuAlZnRh

A relaxed LuAlZnRh crystal (PBE, Alexandria).

Structure (POSCAR):
```
LuAlZnRh
1.0
4.5773 0.0000 0.0000
2.2886 3.9641 0.0000
2.2886 1.3214 3.7373
Zn Al Rh Lu
1 1 1 1
Direct
0.0000 0.0000 0.0000
0.2500 0.2500 0.2500
0.5000 0.5000 0.5000
0.7500 0.7500 0.7500
```

Calculated values
space-group type	F-43m
total DFT energy (no corrections)	-19.3	eV for the cell shown
energy of formation from the pure elements	-0.5903	eV per atom
calculated volume	16.95	Å³/atom

***

# ErZr4Sc8

A relaxed ErZr4Sc8 crystal (PBE, Alexandria).

Structure (POSCAR):
```
ErZr4Sc8
1.0
-0.2353 6.0590 -1.7093
-0.9408 -4.5153 -4.2757
-9.0486 -2.3558 4.4607
Zr Sc Er
4 8 1
Direct
0.5000 0.5000 0.0000
0.5000 0.0000 0.0000
0.0000 0.0000 0.0000
0.0000 0.5000 0.0000
0.0109 0.7616 0.2612
0.9892 0.7530 0.7383
0.3954 0.1996 0.5888
0.4972 0.2476 0.2622
0.6046 0.8004 0.4112
0.9891 0.2384 0.7388
0.0108 0.2470 0.2617
0.5028 0.7524 0.7378
0.0000 0.5000 0.5000
```

Calculated values
space-group type	P-1
total DFT energy (no corrections)	-85.7	eV for the cell shown
energy of formation from the pure elements	0.2831	eV per atom
calculated volume	25.62	Å³/atom

***

# CaAcGaN2

A relaxed CaAcGaN2 crystal (PBE, Alexandria).

Structure (POSCAR):
```
CaAcGaN2
1.0
-3.8335 -1.5039 -3.1111
-1.9176 -3.5291 4.0689
-4.1016 5.1792 2.5504
Ca N Ac Ga
2 4 2 2
Direct
0.5003 0.0000 0.7500
0.4997 0.0000 0.2500
0.2491 0.2455 0.0006
0.2491 0.7545 0.4994
0.7509 0.7545 0.9994
0.7509 0.2455 0.5006
0.9987 0.5000 0.2500
0.0013 0.5000 0.7500
0.0000 0.0000 0.5000
0.0000 0.0000 0.0000
```

Calculated values
space-group type	P2/c
total DFT energy (no corrections)	-55.7	eV for the cell shown
ΔE_f (raw)	-0.408	eV per atom
calculated volume	20.90	Å³/atom

***

# LaGaSn

A relaxed LaGaSn crystal (PBE, Alexandria).

Structure (POSCAR):
```
LaGaSn
1.0
-3.4798 -1.3650 2.3754
2.7346 -1.4977 3.1454
0.2054 5.3945 -0.7280
Sn Ga La
1 1 1
Direct
0.2686 0.2686 0.5373
0.9595 0.9595 0.9190
0.6219 0.6219 0.2438
```

Calculated values
space-group type	I4mm
total DFT energy (no corrections)	-13.1	eV for the cell shown
energy of formation from the pure elements	-0.3668	eV per atom
calculated volume	29.14	Å³/atom

***

# TbB4Ru6

A relaxed TbB4Ru6 crystal (PBE, Alexandria).

Structure (POSCAR):
```
TbB4Ru6
1.0
5.7393 -0.1752 -0.2576
-2.8089 5.0080 0.2576
-2.8089 -1.6017 4.7519
B Ru Tb
4 6 1
Direct
0.7117 0.4216 0.4216
0.0000 0.2901 0.5784
0.0000 0.5784 0.2901
0.2883 0.7099 0.7099
0.3809 0.4721 0.4721
0.5000 0.5000 0.0000
0.5000 0.0000 0.5000
0.0000 0.5279 0.9088
0.0000 0.9088 0.5279
0.6191 0.0912 0.0912
0.0000 0.0000 0.0000
```

Calculated values
space-group type	I-42m
total DFT energy (no corrections)	-88.4	eV for the cell shown
energy of formation from the pure elements	-0.1280	eV per atom
calculated volume	12.00	Å³/atom

***

# TlC2

A relaxed TlC2 crystal (PBE, Alexandria).

Structure (POSCAR):
```
TlC2
1.0
-4.2230 1.2879 -3.7796
-1.3466 -1.8048 5.3579
0.0178 6.2548 2.1114
Tl C
4 8
Direct
0.3333 0.6667 0.5019
0.6667 0.3333 0.4981
0.6667 0.3333 0.0019
0.3333 0.6667 0.9981
0.0000 0.0000 0.0000
0.9123 0.8246 0.2500
0.1754 0.0877 0.2500
0.0000 0.0000 0.5000
0.8246 0.9123 0.7500
0.0877 0.9123 0.7500
0.0877 0.1754 0.7500
0.9123 0.0877 0.2500
```

Calculated values
space-group type	P6_3/mmc
total DFT energy (no corrections)	-59.2	eV for the cell shown
energy of formation from the pure elements	2.0006	eV per atom
distance to the lowest polymorph of the same formula	1098	meV/atom
calculated volume	16.09	Å³/atom